Computed, not measured: a geometry-optimized PuAsC structure at the PBE-GGA level of DFT.

```
PuAsC
1.0
-3.718 -0.982 1.476
1.602 -0.430 3.749
-0.273 7.829 -1.228
As Pu C
2 2 2
Cartesian
-2.309 1.917 1.206 As
-0.080 4.501 2.791 As
0.445 1.689 2.245 Pu
-2.834 4.729 1.753 Pu
-1.634 -0.858 2.841 C
-0.482 -0.554 2.384 C
```

Summary:
Energy of formation = 4 kJ/mol of atoms
Calculated total energy = -9.36 eV/atom
Spin magnetization = 8.93 μB/cell
Calculated density = 8.8 Mg/m³